[1]
The following is a GGA-PBE calculation of CsAl2In2 after structural relaxation, from the Alexandria database.

Lattice parameters (Å, degrees): 6.964 6.964 6.964 138.64 138.64 59.93
Positions (direct):
Cs1 0.000 0.000 0.000
Al1 0.386 0.386 0.000
Al2 0.614 0.614 0.000
In1 0.250 0.750 0.500
In2 0.750 0.250 0.500

The theoretical density is 4.7 g/cm³.

***

[2]
The following is a GGA-PBE calculation of CsAlIn2 after structural relaxation, from the Alexandria database.

Lattice parameters (Å, degrees): 3.716 3.716 9.108 90.00 90.00 90.00
Positions (direct):
Cs1 0.000 0.000 0.000
Al1 0.000 0.000 0.500
In1 0.500 0.500 0.325
In2 0.500 0.500 0.675

The theoretical density is 5.1 g/cm³.

***

[3]
The following is a GGA-PBE calculation of Cs4AlIn4 after structural relaxation, from the Alexandria database.

Lattice parameters (Å, degrees): 9.997 9.997 9.997 133.57 133.57 67.76
Positions (direct):
Cs1 0.054 0.687 0.000
Cs2 0.313 0.313 0.367
Cs3 0.687 0.054 0.000
Cs4 0.946 0.946 0.633
Al1 0.500 0.500 0.000
In1 0.222 0.222 0.709
In2 0.487 0.778 0.000
In3 0.513 0.513 0.291
In4 0.778 0.487 0.000

The theoretical density is 3.3 g/cm³.

***

[4]
The following is a GGA-PBE calculation of CsAl2In2 after structural relaxation, from the Alexandria database.

Lattice parameters (Å, degrees): 9.319 9.319 3.272 90.00 90.00 90.00
Positions (direct):
Cs1 0.000 0.000 0.000
Cs2 0.500 0.500 0.000
Al1 0.146 0.354 0.500
Al2 0.354 0.854 0.500
Al3 0.646 0.146 0.500
Al4 0.854 0.646 0.500
In1 0.136 0.636 0.000
In2 0.364 0.136 0.000
In3 0.636 0.864 0.000
In4 0.864 0.364 0.000

The theoretical density is 4.9 g/cm³.

***

Number 1: spin magnetization 0.000 μB/atom, uncorrected energy -2.71 eV/atom. Number 2: spin magnetization 0.000 μB/atom, uncorrected energy -2.47 eV/atom. Number 3: spin magnetization 0.000 μB/atom, uncorrected energy -1.88 eV/atom. Number 4: spin magnetization 0.000 μB/atom, uncorrected energy -2.56 eV/atom.